DFT (GGA-PBE) results for NaPmGdMg after structural relaxation.

It has space group F-43m (No. 216), with a = 7.868 Å, b = 7.868 Å, c = 7.868 Å, α = 90.00°, β = 90.00° and γ = 90.00°. The distinct sites, in fractional coordinates, are Na at (0.000, 0.000, 0.000), Pm at (0.250, 0.250, 0.250), Gd at (0.250, 0.250, 0.750) and Mg at (0.000, 0.000, 0.500).

The calculation puts the total energy at -5.29 eV per atom.